Below is crystalline Li2ReW at its relaxed geometry, with properties calculated at the PBEsol level.

abc: 2.8994 4.2454 4.7809
angles: 90.00 90.00 90.00
Last column: nearest neighbours and their distance in Å.
Space group Pmmm (No. 47)
Symmetry-distinct sites (fractional):
Li 0.0000 0.0000 0.0000 [1 per cell]  4 Li 2.57, 4 W 2.80
Li 0.5000 0.5000 0.0000 [1 per cell]  4 Li 2.57, 4 Re 2.80
Re 0.0000 0.5000 0.5000 [1 per cell]  4 W 2.57, 4 Li 2.80
W 0.5000 0.0000 0.5000 [1 per cell]  4 Re 2.57, 4 Li 2.80

Summary:
Distance to the lowest polymorph of the same formula, eV per atom: 0.177
V, Å³ per cell: 58.8
Formation energy from the elements, eV per atom: 0.4311